This record from Alexandria describes a geometry-optimized Cs2HWF6 structure. The functional is PBE+U.

POSCAR file:
```
Cs2HWF6
1.0
-3.373 3.373 4.621
3.373 -3.373 4.621
3.373 3.373 -4.621
Cs H W F
2 1 1 6
direct
0.250 0.750 0.500
0.750 0.250 0.500
0.000 0.000 0.000
0.500 0.500 0.000
0.284 0.284 0.000
0.287 0.287 0.574
0.287 0.713 0.000
0.713 0.287 0.000
0.713 0.713 0.426
0.716 0.716 0.000
```

Values from the calculation:
Calculated volume = 210.2 Å³ per cell
Raw total energy = -4.606 eV per atom
Fermi-level density of states = 2.4205 states/eV per atom
Space-group type = I4/mmm, No. 139